Computed, not measured: Ta2TiCuPt at its PBEsol-relaxed geometry at the meta-GGA SCAN level of DFT.

Geometry as extended XYZ:
```
5
Lattice="4.539 0.000 0.000 0.000 4.539 0.000 0.000 0.000 4.373" Properties=species:S:1:pos:R:3 pbc="T T T"
Ta 0.000 2.269 0.000
Ta 2.269 0.000 0.000
Ti 0.000 0.000 0.000
Cu 0.000 0.000 2.187
Pt 2.269 2.269 2.187
```

## Properties
calculated formation energy: 1.3494 eV per atom
symmetry: P4/mmm (123)
calculated volume: 90.09 Å³/cell
DFT total energy: -227.84 eV/f.u.
crystal system: tetragonal